P) First-principles (PBE) data for DyPuSc2 after structural relaxation, as listed in Alexandria via LeMat-Bulk.

It has space group Pmmm (No. 47), with a = 3.336 Å, b = 4.712 Å, c = 6.730 Å, α = 90.00°, β = 90.00° and γ = 90.00°. The distinct sites, in fractional coordinates, are Dy at (0.000, 0.000, 0.000), Pu at (0.000, 0.000, 0.500) and Sc at (0.500, 0.500, 0.260).

The value obtained for the total magnetic moment is 6.4 μB per cell.

***

Q) First-principles (PBE) data for DyPuSc2 after structural relaxation, as listed in Alexandria via LeMat-Bulk.

It has space group Cmmm (No. 65), with a = 3.608 Å, b = 5.426 Å, c = 10.885 Å, α = 90.00°, β = 90.00° and γ = 90.00°. The distinct sites, in fractional coordinates, are Dy at (0.000, 0.000, 0.000), Pu at (0.000, 0.000, 0.500) and Sc at (0.000, 0.500, 0.256).

The value obtained for the total magnetic moment is 13.7 μB per cell.

***

R) First-principles (PBE) data for DyPuSc2 after structural relaxation, as listed in Alexandria via LeMat-Bulk.

It has space group P4/mmm (No. 123), with a = 4.880 Å, b = 4.880 Å, c = 4.457 Å, α = 90.00°, β = 90.00° and γ = 90.00°. The distinct sites, in fractional coordinates, are Dy at (0.000, 0.000, 0.000), Pu at (0.500, 0.500, 0.000) and Sc at (0.000, 0.500, 0.500).

The value obtained for the total magnetic moment is 6.0 μB per cell.

***

The energy of each structure relative to the most stable one, in meV per atom, is as follows: P) 0; Q) 58; R) 36.

***

P) First-principles (PBE) data for DyPu2Sc after structural relaxation, as listed in Alexandria via LeMat-Bulk.

It has space group P4/mmm (No. 123), with a = 3.312 Å, b = 3.312 Å, c = 9.858 Å, α = 90.00°, β = 90.00° and γ = 90.00°. The distinct sites, in fractional coordinates, are Dy at (0.000, 0.000, 0.000), Pu at (0.500, 0.500, 0.261) and Sc at (0.000, 0.000, 0.500).

The value obtained for the total magnetic moment is 12.5 μB per cell.

***

Q) First-principles (PBE) data for DyPu2Sc after structural relaxation, as listed in Alexandria via LeMat-Bulk.

It has space group R3m (No. 160, hexagonal axes), with a = 3.3444 Å, b = 3.3444 Å, c = 33.9714 Å, α = 90.00°, β = 90.00° and γ = 120.00°. The distinct sites, in fractional coordinates, are Dy at (0.0000, 0.0000, 0.0000), Pu at (0.0000, 0.0000, 0.7480), Pu at (0.0000, 0.0000, 0.9053) and Sc at (0.0000, 0.0000, 0.4929).

The value obtained for the total magnetic moment is 1.2 μB per cell.

***

The energy of each structure relative to the most stable one, in meV per atom, is as follows: P) 0; Q) 54.

***

P) First-principles (PBE) data for DyPu2Sc after structural relaxation, as listed in Alexandria via LeMat-Bulk.

It has space group P4/mmm (No. 123), with a = 4.661 Å, b = 4.661 Å, c = 4.949 Å, α = 90.00°, β = 90.00° and γ = 90.00°. The distinct sites, in fractional coordinates, are Dy at (0.000, 0.000, 0.000), Pu at (0.000, 0.500, 0.500) and Sc at (0.500, 0.500, 0.000).

The value obtained for the total magnetic moment is 12.3 μB per cell.

***

Q) First-principles (PBE) data for DyPu2Sc after structural relaxation, as listed in Alexandria via LeMat-Bulk.

It has space group R-3m (No. 166, hexagonal axes), with a = 3.2996 Å, b = 3.2996 Å, c = 35.1901 Å, α = 90.00°, β = 90.00° and γ = 120.00°. The distinct sites, in fractional coordinates, are Dy at (0.0000, 0.0000, 0.0000), Pu at (0.0000, 0.0000, 0.4171) and Sc at (0.0000, 0.0000, 0.5000).

The value obtained for the total magnetic moment is 35.2 μB per cell.

***

The energy of each structure relative to the most stable one, in meV per atom, is as follows: P) 0; Q) 160.

***

P) First-principles (PBE) data for DyPuSc3 after structural relaxation, as listed in Alexandria via LeMat-Bulk.

It has space group R-3m (No. 166, hexagonal axes), with a = 6.3754 Å, b = 6.3754 Å, c = 23.2528 Å, α = 90.00°, β = 90.00° and γ = 120.00°. The distinct sites, in fractional coordinates, are Dy at (0.0000, 0.0000, 0.0760), Pu at (0.0000, 0.0000, 0.3338) and Sc at (0.0061, 0.5030, 0.8844).

The value obtained for the total magnetic moment is 43.3 μB per cell.

***

Q) First-principles (PBE) data for DyPuSc3 after structural relaxation, as listed in Alexandria via LeMat-Bulk.

It has space group Imma (No. 74), with a = 5.463 Å, b = 6.519 Å, c = 15.106 Å, α = 90.00°, β = 90.00° and γ = 90.00°. The distinct sites, in fractional coordinates, are Dy at (0.000, 0.250, 0.023), Pu at (0.000, 0.250, 0.802), Sc at (0.000, 0.013, 0.600) and Sc at (0.250, 0.250, 0.250).

The value obtained for the total magnetic moment is 28.5 μB per cell.

***

The energy of each structure relative to the most stable one, in meV per atom, is as follows: P) 18; Q) 0.

***

P) First-principles (PBE) data for DyPuSe3 after structural relaxation, as listed in Alexandria via LeMat-Bulk.

It has space group Pmmn (No. 59, origin choice 2), with a = 4.064 Å, b = 7.040 Å, c = 9.049 Å, α = 90.00°, β = 90.00° and γ = 90.00°. The distinct sites, in fractional coordinates, are Dy at (0.250, 0.250, 0.102), Pu at (0.250, 0.750, 0.347), Se at (0.250, 0.022, 0.831) and Se at (0.250, 0.250, 0.434).

The value obtained for the total magnetic moment is 10.0 μB per cell.

***

Q) First-principles (PBE) data for DyPuSe3 after structural relaxation, as listed in Alexandria via LeMat-Bulk.

It has space group Pnma (No. 62), with a = 11.122 Å, b = 4.067 Å, c = 11.039 Å, α = 90.00°, β = 90.00° and γ = 90.00°. The distinct sites, in fractional coordinates, are Dy at (0.010, 0.250, 0.184), Pu at (0.188, 0.250, 0.503), Se at (0.048, 0.750, 0.368), Se at (0.120, 0.250, 0.944) and Se at (0.228, 0.750, 0.697).

The value obtained for the total magnetic moment is 20.0 μB per cell.

***

The energy of each structure relative to the most stable one, in meV per atom, is as follows: P) 62; Q) 0.

***

P) First-principles (PBE) data for DyPu2Si after structural relaxation, as listed in Alexandria via LeMat-Bulk.

It has space group R-3m (No. 166, hexagonal axes), with a = 3.4466 Å, b = 3.4466 Å, c = 30.4854 Å, α = 90.00°, β = 90.00° and γ = 120.00°. The distinct sites, in fractional coordinates, are Dy at (0.0000, 0.0000, 0.0000), Pu at (0.0000, 0.0000, 0.2352) and Si at (0.0000, 0.0000, 0.5000).

The value obtained for the total magnetic moment is 34.4 μB per cell.

***

Q) First-principles (PBE) data for DyPu2Si after structural relaxation, as listed in Alexandria via LeMat-Bulk.

It has space group P4/mmm (No. 123), with a = 4.352 Å, b = 4.352 Å, c = 4.852 Å, α = 90.00°, β = 90.00° and γ = 90.00°. The distinct sites, in fractional coordinates, are Dy at (0.000, 0.000, 0.000), Pu at (0.000, 0.500, 0.500) and Si at (0.500, 0.500, 0.000).

The value obtained for the total magnetic moment is 11.5 μB per cell.

***

The energy of each structure relative to the most stable one, in meV per atom, is as follows: P) 315; Q) 0.

***

P) First-principles (PBE) data for Dy2PuSi after structural relaxation, as listed in Alexandria via LeMat-Bulk.

It has space group R-3m (No. 166, hexagonal axes), with a = 3.5008 Å, b = 3.5008 Å, c = 31.9648 Å, α = 90.00°, β = 90.00° and γ = 120.00°. The distinct sites, in fractional coordinates, are Dy at (0.0000, 0.0000, 0.1040), Pu at (0.0000, 0.0000, 0.0000) and Si at (0.0000, 0.0000, 0.5000).

The value obtained for the total magnetic moment is 19.3 μB per cell.

***

Q) First-principles (PBE) data for Dy2PuSi after structural relaxation, as listed in Alexandria via LeMat-Bulk.

It has space group P4/mmm (No. 123), with a = 4.661 Å, b = 4.661 Å, c = 4.425 Å, α = 90.00°, β = 90.00° and γ = 90.00°. The distinct sites, in fractional coordinates, are Dy at (0.000, 0.500, 0.000), Pu at (0.000, 0.000, 0.500) and Si at (0.500, 0.500, 0.500).

The value obtained for the total magnetic moment is 6.3 μB per cell.

***

The energy of each structure relative to the most stable one, in meV per atom, is as follows: P) 287; Q) 0.

***

P) First-principles (PBE) data for SmDy2Pu after structural relaxation, as listed in Alexandria via LeMat-Bulk.

It has space group P4/mmm (No. 123), with a = 3.512 Å, b = 3.512 Å, c = 10.042 Å, α = 90.00°, β = 90.00° and γ = 90.00°. The distinct sites, in fractional coordinates, are Sm at (0.000, 0.000, 0.000), Dy at (0.500, 0.500, 0.258) and Pu at (0.000, 0.000, 0.500).

The value obtained for the total magnetic moment is 6.3 μB per cell.

***

Q) First-principles (PBE) data for SmDy2Pu after structural relaxation, as listed in Alexandria via LeMat-Bulk.

It has space group P4/mmm (No. 123), with a = 4.987 Å, b = 4.987 Å, c = 4.989 Å, α = 90.00°, β = 90.00° and γ = 90.00°. The distinct sites, in fractional coordinates, are Sm at (0.000, 0.000, 0.000), Dy at (0.000, 0.500, 0.500) and Pu at (0.500, 0.500, 0.000).

The value obtained for the total magnetic moment is 6.2 μB per cell.

***

R) First-principles (PBE) data for SmDy2Pu after structural relaxation, as listed in Alexandria via LeMat-Bulk.

It has space group Fm-3m (No. 225), with a = 7.942 Å, b = 7.942 Å, c = 7.942 Å, α = 90.00°, β = 90.00° and γ = 90.00°. The distinct sites, in fractional coordinates, are Sm at (0.000, 0.000, 0.000), Dy at (0.250, 0.250, 0.250) and Pu at (0.000, 0.000, 0.500).

The value obtained for the total magnetic moment is 27.4 μB per cell.

***

The energy of each structure relative to the most stable one, in meV per atom, is as follows: P) 0; Q) 42; R) 109.